An optimized crystal structure of V3Se4O2, computed with PBE with a Hubbard U.

The structure in POSCAR format:
```
V3Se4O2
1.0
3.160 0.000 0.000
-1.580 2.737 0.000
0.000 0.000 21.889
V Se O
3 4 2
direct
0.000 0.000 0.261
0.000 0.000 0.739
0.667 0.333 0.000
0.667 0.333 0.338
0.667 0.333 0.817
0.667 0.333 0.183
0.667 0.333 0.662
0.000 0.000 0.949
0.000 0.000 0.051
```

Symmetry   P-6m2, No. 187
DOS(E_F)   0.48 states/eV/atom
E   -5.632 eV per atom
M_tot   0.98 μB per formula unit